10
Lattice="-0.1784 -3.8044 -3.4809 1.9391 -4.2819 4.5805 -6.3962 1.1452 -0.9238" Properties=species:S:1:pos:R:3 comment="Cs2MnMoO6 (GGA+U, relaxed)" total_energy_ev_per_atom=-6.146 total_magnetization_mub_per_cell=2.97 spacegroup="P-3m1, No. 164" pbc="T T T"
O -0.3719 -1.9115 0.2049
Mo 0.0000 0.0000 0.0000
O -4.2637 -5.0296 -0.0291
Cs -3.6680 -1.7343 -0.0685
O -1.5454 -3.1166 -2.2592
Mn -0.0892 -1.9022 -1.7404
O 0.8107 -4.5230 2.9985
O -3.0901 -3.8245 2.4351
Cs -0.9675 -5.2068 0.2443
O -5.4463 -2.4182 -2.8226